Density functional theory data (PBE) for crystalline TaSb3 at its relaxed geometry.

Unit cell a=4.584 b=4.584 c=4.584 alpha=90.00 beta=90.00 gamma=90.00
Sites, in units of the cell vectors:
Ta 0.000 0.000 0.000
Sb 0.000 0.500 0.500
Sb 0.500 0.000 0.500
Sb 0.500 0.500 0.000

The formation energy without anion corrections comes out at 0.666 eV per atom. Its total magnetization is 0.991 μB per cell. As for the energy above the most stable polymorph in this dataset: 584.1 meV per atom. Its total energy is -21.6 eV/cell.


Density functional theory data (PBE) for crystalline Ta3Sb at its relaxed geometry.

Unit cell a=5.298 b=5.298 c=5.298 alpha=90.00 beta=90.00 gamma=90.00
Sites, in units of the cell vectors:
Ta 0.000 0.250 0.500
Ta 0.000 0.750 0.500
Ta 0.250 0.500 0.000
Ta 0.500 0.000 0.250
Ta 0.500 0.000 0.750
Ta 0.750 0.500 0.000
Sb 0.000 0.000 0.000
Sb 0.500 0.500 0.500

The formation energy without anion corrections comes out at -0.100 eV per atom. Its total magnetization is 0.000 μB per cell. As for the energy above the most stable polymorph in this dataset: 0.0 meV per atom. Its total energy is -80.2 eV/cell.


Density functional theory data (PBE) for crystalline TaSb3 at its relaxed geometry.

Unit cell a=6.637 b=6.637 c=5.130 alpha=90.00 beta=90.00 gamma=120.00
Sites, in units of the cell vectors:
Ta 0.333 0.667 0.250
Ta 0.667 0.333 0.750
Sb 0.183 0.366 0.750
Sb 0.183 0.817 0.750
Sb 0.366 0.183 0.250
Sb 0.634 0.817 0.750
Sb 0.817 0.183 0.250
Sb 0.817 0.634 0.250

The formation energy without anion corrections comes out at 0.502 eV per atom. Its total magnetization is 0.000 μB per cell. As for the energy above the most stable polymorph in this dataset: 420.7 meV per atom. Its total energy is -44.4 eV/cell.


Density functional theory data (PBE) for crystalline TaSb at its relaxed geometry.

Unit cell a=4.742 b=4.742 c=9.321 alpha=90.00 beta=90.00 gamma=120.00
Sites, in units of the cell vectors:
Ta 0.000 0.000 0.250
Ta 0.000 0.000 0.750
Ta 0.333 0.667 0.250
Ta 0.667 0.333 0.750
Sb 0.333 0.667 0.586
Sb 0.333 0.667 0.914
Sb 0.667 0.333 0.086
Sb 0.667 0.333 0.414

The formation energy without anion corrections comes out at 0.476 eV per atom. Its total magnetization is 0.000 μB per cell. Its total energy is -60.1 eV/cell.


Density functional theory data (PBE) for crystalline Ta3Sb2 at its relaxed geometry.

Unit cell a=4.663 b=4.663 c=5.792 alpha=90.00 beta=90.00 gamma=120.00
Sites, in units of the cell vectors:
Ta 0.000 0.000 0.000
Ta 0.333 0.667 0.316
Ta 0.667 0.333 0.684
Sb 0.333 0.667 0.803
Sb 0.667 0.333 0.197

The formation energy without anion corrections comes out at 0.583 eV per atom. Its total magnetization is 0.002 μB per cell. Its total energy is -40.9 eV/cell.


Density functional theory data (PBE) for crystalline TaSb at its relaxed geometry.

Unit cell a=3.143 b=3.143 c=10.248 alpha=90.00 beta=90.00 gamma=120.00
Sites, in units of the cell vectors:
Ta 0.333 0.667 0.000
Ta 0.667 0.333 0.500
Sb 0.333 0.667 0.724
Sb 0.667 0.333 0.224

The formation energy without anion corrections comes out at 0.492 eV per atom. Its total magnetization is 0.000 μB per cell. Its total energy is -30.0 eV/cell.


Density functional theory data (PBE) for crystalline TaSb at its relaxed geometry.

Unit cell a=4.211 b=4.211 c=6.257 alpha=90.00 beta=90.00 gamma=90.00
Sites, in units of the cell vectors:
Ta 0.250 0.750 0.000
Ta 0.750 0.250 0.000
Sb 0.250 0.250 0.298
Sb 0.750 0.750 0.702

The formation energy without anion corrections comes out at 0.467 eV per atom. Its total magnetization is 0.000 μB per cell. Its total energy is -30.1 eV/cell.


Density functional theory data (PBE) for crystalline Ta4Sb at its relaxed geometry.

Unit cell a=5.337 b=5.337 c=5.337 alpha=109.47 beta=109.47 gamma=109.47
Sites, in units of the cell vectors:
Ta 0.000 0.000 0.500
Ta 0.000 0.500 0.000
Ta 0.500 0.000 0.000
Ta 0.500 0.500 0.500
Sb 0.000 0.000 0.000

The formation energy without anion corrections comes out at 1.344 eV per atom. Its total magnetization is 0.000 μB per cell. As for the energy above the most stable polymorph in this dataset: 1352.5 meV per atom. Its total energy is -44.8 eV/cell.


Density functional theory data (PBE) for crystalline TaSb3 at its relaxed geometry.

Unit cell a=6.840 b=6.840 c=4.970 alpha=90.00 beta=90.00 gamma=118.09
Sites, in units of the cell vectors:
Ta 0.073 0.927 0.750
Ta 0.927 0.073 0.250
Sb 0.071 0.347 0.750
Sb 0.347 0.071 0.250
Sb 0.421 0.579 0.250
Sb 0.579 0.421 0.750
Sb 0.653 0.929 0.750
Sb 0.929 0.653 0.250

The formation energy without anion corrections comes out at 0.314 eV per atom. Its total magnetization is 0.000 μB per cell. As for the energy above the most stable polymorph in this dataset: 232.1 meV per atom. Its total energy is -45.9 eV/cell.


Density functional theory data (PBE) for crystalline TaSb2 at its relaxed geometry.

Unit cell a=5.212 b=5.212 c=2.952 alpha=90.00 beta=90.00 gamma=120.00
Sites, in units of the cell vectors:
Ta 0.000 0.000 0.000
Sb 0.333 0.667 0.500
Sb 0.667 0.333 0.500

The formation energy without anion corrections comes out at 0.688 eV per atom. Its total magnetization is 0.000 μB per cell. Its total energy is -18.0 eV/cell.


Density functional theory data (PBE) for crystalline TaSb at its relaxed geometry.

Unit cell a=7.797 b=7.797 c=7.797 alpha=90.00 beta=90.00 gamma=90.00
Sites, in units of the cell vectors:
Ta 0.000 0.250 0.500
Ta 0.000 0.750 0.500
Ta 0.250 0.500 0.000
Ta 0.500 0.000 0.250
Ta 0.500 0.000 0.750
Ta 0.750 0.500 0.000
Sb 0.000 0.500 0.250
Sb 0.000 0.500 0.750
Sb 0.250 0.000 0.500
Sb 0.500 0.250 0.000
Sb 0.500 0.750 0.000
Sb 0.750 0.000 0.500

The formation energy without anion corrections comes out at 1.238 eV per atom. Its total magnetization is 11.275 μB per cell. Its total energy is -81.0 eV/cell.


Density functional theory data (PBE) for crystalline TaSb at its relaxed geometry.

Unit cell a=3.125 b=3.125 c=11.041 alpha=90.00 beta=90.00 gamma=120.00
Sites, in units of the cell vectors:
Ta 0.333 0.667 0.109
Ta 0.667 0.333 0.891
Sb 0.333 0.667 0.675
Sb 0.667 0.333 0.325

The formation energy without anion corrections comes out at 0.184 eV per atom. Its total magnetization is 0.000 μB per cell. Its total energy is -31.2 eV/cell.